# Dy5HoSc5

A geometry-optimized Dy5HoSc5 structure (PBE, Alexandria via LeMat-Bulk).

abc: 5.775 5.775 11.283
angles: 90.00 90.00 120.00
Fractional coordinates of all 11 atoms:
Dy 0.000 0.000 0.000
Dy 0.333 0.667 0.319
Dy 0.333 0.667 0.681
Dy 0.667 0.333 0.159
Dy 0.667 0.333 0.841
Ho 0.333 0.667 0.000
Sc 0.000 0.000 0.269
Sc 0.000 0.000 0.731
Sc 0.329 0.165 0.500
Sc 0.835 0.165 0.500
Sc 0.835 0.671 0.500

The calculation puts the theoretical density at 6.13 Mg/m³. As for the space group: No. 187. The crystal system is hexagonal. The formation energy is 23.4 kJ per mole of atoms. The value obtained for the spin magnetization is 0.21 μB/atom. As for the density of states at the Fermi level: 2.02 states/eV/atom.